## a
AlSiF: relaxed, PBE-GGA. Values from VASP.

```
&SYSTEM
  ibrav = 0, nat = 6, ntyp = 3
/
ATOMIC_SPECIES
Si 28.09 Si.upf
Al 26.98 Al.upf
F 19.00 F.upf
ATOMIC_POSITIONS crystal
Si 0.796 0.999 0.398
Si 0.204 0.001 0.602
Al 0.886 0.500 0.216
Al 0.114 0.500 0.784
F 0.286 0.330 0.008
F 0.714 0.670 0.992
CELL_PARAMETERS angstrom
-3.279 -1.318 -1.870
1.208 -3.132 -2.600
-2.445 -5.123 4.024
```

## Properties
Density ... 2259 kg/m³

***

## b
AlSiF: relaxed, PBE-GGA. Values from VASP.

```
&SYSTEM
  ibrav = 0, nat = 6, ntyp = 3
/
ATOMIC_SPECIES
Si 28.09 Si.upf
Al 26.98 Al.upf
F 19.00 F.upf
ATOMIC_POSITIONS crystal
Si 0.907 0.500 0.303
Si 0.954 0.000 0.518
Al 0.392 0.000 0.231
Al 0.491 0.000 0.744
F 0.327 0.000 0.974
F 0.611 0.500 0.802
CELL_PARAMETERS angstrom
-1.317 1.969 -3.035
-3.301 -0.263 1.262
1.168 5.812 4.267
```

## Properties
Density ... 2482 kg/m³

***

## c
AlSiF: relaxed, PBE-GGA. Values from VASP.

```
&SYSTEM
  ibrav = 0, nat = 6, ntyp = 3
/
ATOMIC_SPECIES
Si 28.09 Si.upf
Al 26.98 Al.upf
F 19.00 F.upf
ATOMIC_POSITIONS crystal
Si 0.500 0.892 0.512
Si 0.500 0.108 0.012
Al 0.000 0.705 0.560
Al 0.000 0.295 0.060
F 0.000 0.403 0.494
F 0.000 0.597 0.994
CELL_PARAMETERS angstrom
-3.221 -2.061 -1.920
3.525 -0.731 -5.128
1.388 -3.527 1.457
```

## Properties
Density ... 2260 kg/m³

***

## d
AlSiF: relaxed, PBE-GGA. Values from VASP.

```
&SYSTEM
  ibrav = 0, nat = 6, ntyp = 3
/
ATOMIC_SPECIES
Si 28.09 Si.upf
Al 26.98 Al.upf
F 19.00 F.upf
ATOMIC_POSITIONS crystal
Si 0.287 0.553 0.078
Si 0.792 0.756 0.915
Al 0.564 0.138 0.103
Al 0.614 0.812 0.500
F 0.137 0.850 0.517
F 0.729 0.170 0.423
CELL_PARAMETERS angstrom
3.695 0.031 0.009
-1.534 4.821 -0.011
-1.801 -1.193 5.757
```

## Properties
Density ... 2391 kg/m³

***

What is the stability order? It is c, a, b, d, from most stable to least stable.

***

## a
AlSiF: relaxed, PBE-GGA. Values from VASP.

```
&SYSTEM
  ibrav = 0, nat = 12, ntyp = 3
/
ATOMIC_SPECIES
Si 28.09 Si.upf
Al 26.98 Al.upf
F 19.00 F.upf
ATOMIC_POSITIONS crystal
Si 0.406 0.000 0.670
Si 0.594 0.000 0.330
Si 0.406 0.500 0.170
Si 0.594 0.500 0.830
Al 0.000 0.144 0.000
Al 0.000 0.856 0.000
Al 0.000 0.644 0.500
Al 0.000 0.356 0.500
F 0.000 0.250 0.250
F 0.000 0.250 0.750
F 0.000 0.750 0.750
F 0.000 0.750 0.250
CELL_PARAMETERS angstrom
3.892 0.000 0.007
0.000 11.718 0.000
-3.676 0.000 4.187
```

## Properties
Density ... 2572 kg/m³

***

## b
AlSiF: relaxed, PBE-GGA. Values from VASP.

```
&SYSTEM
  ibrav = 0, nat = 6, ntyp = 3
/
ATOMIC_SPECIES
Si 28.09 Si.upf
Al 26.98 Al.upf
F 19.00 F.upf
ATOMIC_POSITIONS crystal
Si 0.481 0.921 0.625
Si 0.519 0.079 0.375
Al 0.271 0.684 0.258
Al 0.729 0.316 0.742
F 0.817 0.717 0.124
F 0.183 0.283 0.876
CELL_PARAMETERS angstrom
2.775 0.391 0.100
0.814 4.196 0.084
0.672 2.156 9.451
```

## Properties
Density ... 2310 kg/m³

***

## c
AlSiF: relaxed, PBE-GGA. Values from VASP.

```
&SYSTEM
  ibrav = 0, nat = 12, ntyp = 3
/
ATOMIC_SPECIES
Si 28.09 Si.upf
Al 26.98 Al.upf
F 19.00 F.upf
ATOMIC_POSITIONS crystal
Si 0.390 0.000 0.032
Si 0.390 0.500 0.532
Si 0.368 0.000 0.887
Si 0.368 0.500 0.387
Al 0.838 0.000 0.341
Al 0.838 0.500 0.841
Al 0.945 0.000 0.123
Al 0.945 0.500 0.623
F 0.134 0.000 0.676
F 0.134 0.500 0.176
F 0.737 0.000 0.228
F 0.737 0.500 0.728
CELL_PARAMETERS angstrom
4.046 0.000 -0.017
0.000 3.013 0.000
-3.002 0.000 15.862
```

## Properties
Density ... 2546 kg/m³

***

What is the stability order? It is b, c, a, from most stable to least stable.

***

## a
AlSiF: relaxed, PBE-GGA. Values from VASP.

```
&SYSTEM
  ibrav = 0, nat = 6, ntyp = 3
/
ATOMIC_SPECIES
Si 28.09 Si.upf
Al 26.98 Al.upf
F 19.00 F.upf
ATOMIC_POSITIONS crystal
Si 0.224 0.057 0.424
Si 0.830 0.280 0.194
Al 0.310 0.648 0.224
Al 0.178 0.178 0.809
F 0.586 0.399 0.728
F 0.407 0.851 0.929
CELL_PARAMETERS angstrom
3.668 0.000 0.000
0.092 4.771 -0.003
1.750 1.152 5.824
```

## Properties
Density ... 2413 kg/m³

***

## b
AlSiF: relaxed, PBE-GGA. Values from VASP.

```
&SYSTEM
  ibrav = 0, nat = 12, ntyp = 3
/
ATOMIC_SPECIES
Si 28.09 Si.upf
Al 26.98 Al.upf
F 19.00 F.upf
ATOMIC_POSITIONS crystal
Si 0.000 0.000 0.218
Si 0.500 0.500 0.718
Si 0.000 0.500 0.345
Si 0.500 0.000 0.845
Al 0.000 0.118 0.561
Al 0.000 0.882 0.561
Al 0.500 0.618 0.061
Al 0.500 0.382 0.061
F 0.000 0.291 0.047
F 0.000 0.709 0.047
F 0.500 0.791 0.547
F 0.500 0.209 0.547
CELL_PARAMETERS angstrom
2.846 0.000 0.000
0.000 13.624 0.000
0.000 0.000 5.332
```

## Properties
Density ... 2379 kg/m³

***

What is the stability order? It is a, b, from most stable to least stable.

***

## a
AlSiF: relaxed, PBE-GGA. Values from VASP.

```
&SYSTEM
  ibrav = 0, nat = 12, ntyp = 3
/
ATOMIC_SPECIES
Si 28.09 Si.upf
Al 26.98 Al.upf
F 19.00 F.upf
ATOMIC_POSITIONS crystal
Si 0.000 0.250 0.816
Si 0.000 0.750 0.184
Si 0.500 0.750 0.316
Si 0.500 0.250 0.684
Al 0.000 0.250 0.077
Al 0.000 0.750 0.923
Al 0.500 0.750 0.577
Al 0.500 0.250 0.423
F 0.000 0.250 0.430
F 0.000 0.750 0.570
F 0.500 0.750 0.930
F 0.500 0.250 0.070
CELL_PARAMETERS angstrom
-0.456 3.600 -1.175
-1.699 1.151 4.187
9.460 2.250 3.221
```

## Properties
Density ... 2700 kg/m³

***

## b
AlSiF: relaxed, PBE-GGA. Values from VASP.

```
&SYSTEM
  ibrav = 0, nat = 12, ntyp = 3
/
ATOMIC_SPECIES
Si 28.09 Si.upf
Al 26.98 Al.upf
F 19.00 F.upf
ATOMIC_POSITIONS crystal
Si 0.855 0.950 0.243
Si 0.355 0.050 0.743
Si 0.855 0.450 0.743
Si 0.355 0.550 0.243
Al 0.883 0.353 0.262
Al 0.383 0.647 0.762
Al 0.883 0.853 0.762
Al 0.383 0.147 0.262
F 0.671 0.241 0.283
F 0.171 0.759 0.783
F 0.671 0.741 0.783
F 0.171 0.259 0.283
CELL_PARAMETERS angstrom
-3.409 0.304 3.449
3.552 -12.098 4.577
3.975 1.254 0.229
```

## Properties
Density ... 2283 kg/m³

***

What is the stability order? It is a, b, from most stable to least stable.

***

## a
Al2Sn2F: relaxed, PBE-GGA. Values from VASP.

```
&SYSTEM
  ibrav = 0, nat = 5, ntyp = 3
/
ATOMIC_SPECIES
F 19.00 F.upf
Sn 118.71 Sn.upf
Al 26.98 Al.upf
ATOMIC_POSITIONS crystal
F 0.000 0.000 0.000
Sn 0.750 0.250 0.500
Sn 0.250 0.750 0.500
Al 0.401 0.401 0.197
Al 0.599 0.599 0.803
CELL_PARAMETERS angstrom
-2.594 -3.309 0.993
0.488 -1.580 -3.991
3.934 -5.775 0.429
```

## Properties
Density ... 4384 kg/m³

***

## b
Al2Sn2F: relaxed, PBE-GGA. Values from VASP.

```
&SYSTEM
  ibrav = 0, nat = 10, ntyp = 3
/
ATOMIC_SPECIES
F 19.00 F.upf
Sn 118.71 Sn.upf
Al 26.98 Al.upf
ATOMIC_POSITIONS crystal
F 0.000 0.000 0.000
F 0.500 0.500 0.000
Sn 0.252 0.752 0.500
Sn 0.752 0.748 0.500
Sn 0.748 0.248 0.500
Sn 0.248 0.252 0.500
Al 0.341 0.841 0.000
Al 0.841 0.659 0.000
Al 0.659 0.159 0.000
Al 0.159 0.341 0.000
CELL_PARAMETERS angstrom
6.074 0.000 0.000
0.000 6.074 0.000
0.000 0.000 5.470
```

## Properties
Density ... 5108 kg/m³

***

What is the stability order? It is b, a, from most stable to least stable.

***

## a
AlTcSnF2: relaxed, PBE-GGA. Values from VASP.

```
&SYSTEM
  ibrav = 0, nat = 5, ntyp = 4
/
ATOMIC_SPECIES
F 19.00 F.upf
Al 26.98 Al.upf
Sn 118.71 Sn.upf
Tc 98.00 Tc.upf
ATOMIC_POSITIONS crystal
F 0.000 0.000 0.500
F 0.500 0.000 0.000
Al 0.000 0.500 0.000
Sn 0.500 0.500 0.500
Tc 0.000 0.000 0.000
CELL_PARAMETERS angstrom
4.122 0.000 0.000
0.000 5.336 0.000
0.000 0.000 4.122
```

## Properties
Density ... 5158 kg/m³

***

## b
AlTcSnF2: relaxed, PBE-GGA. Values from VASP.

```
&SYSTEM
  ibrav = 0, nat = 5, ntyp = 4
/
ATOMIC_SPECIES
F 19.00 F.upf
Al 26.98 Al.upf
Sn 118.71 Sn.upf
Tc 98.00 Tc.upf
ATOMIC_POSITIONS crystal
F 0.000 0.000 0.500
F 0.500 0.000 0.000
Al 0.500 0.500 0.500
Sn 0.000 0.500 0.000
Tc 0.000 0.000 0.000
CELL_PARAMETERS angstrom
4.104 0.000 0.000
0.000 5.715 0.000
0.000 0.000 4.104
```

## Properties
Density ... 4859 kg/m³

***

What is the stability order? It is b, a, from most stable to least stable.